## CePm2TlN (PBE)

Data for a relaxed structure of CePm2TlN.

Output
The symmetry is P4/mmm (123). For the magnetic moment, the calculation gives 0.7 μB/cell. The formation energy (no corrections) is -0.803 eV/atom.

Lattice parameters (Å, degrees): 4.8542 5.0324 5.0324 90.00 90.00 90.00
Closest atoms and distances in Å follow each position.
Fractional coordinates of all 5 atoms:
Pm1 0.0000 0.5000 0.0000  2 N 2.52
Pm2 0.0000 0.0000 0.5000  2 N 2.52
Tl1 0.5000 0.5000 0.5000  8 Pm 3.50, 4 Ce 3.56
Ce1 0.5000 0.0000 0.0000  2 N 2.43
N1 0.0000 0.0000 0.0000  2 Ce 2.43, 4 Pm 2.52